1.
8
Lattice="4.0157 0.0000 0.0000 0.0000 6.4001 0.0000 0.0000 0.0000 5.6608" Properties=species:S:1:pos:R:3 comment="LaCdNO GGA-PBE relaxed" m_tot_mub_per_cell=0.001 e_above_lowest_polymorph_ev_per_atom=0.000 pbc="T T T"
La 0.0000 1.2841 0.0000
La 0.0000 5.1160 2.8304
Cd 2.0079 1.9025 2.8181
Cd 2.0079 4.4976 5.6485
N 0.0000 1.0420 2.4614
N 0.0000 5.3581 5.2918
O 2.0079 2.2677 5.1312
O 2.0079 4.1324 2.3008

2.
11
Lattice="7.7262 -2.0973 0.0000 7.7262 2.0973 0.0000 -2.0915 0.0000 6.6735" Properties=species:S:1:pos:R:3 comment="Er4TlFe2Ge4 GGA-PBE relaxed" m_tot_mub_per_cell=0.005 energy_ev_per_atom=-5.68 pbc="T T T"
Er 0.6032 0.0000 2.6031
Er 0.4065 0.0000 6.2701
Er 12.9544 0.0000 0.4033
Er 12.7578 0.0000 4.0704
Tl 7.7262 0.0000 0.0000
Fe 3.5412 0.0000 2.4898
Fe 9.8197 0.0000 4.1837
Ge 2.9790 0.0000 4.8476
Ge 5.9304 0.0000 2.2959
Ge 7.4306 0.0000 4.3776
Ge 10.3819 0.0000 1.8258